# SCAN ZnCdAu2, PBEsol geometry
# * energy relative to the elements: -0.127 eV per atom
# * calculated volume: 16.91 A^3/atom
# * DFT total energy: -45.688 eV per atom
# * total magnetization: 0.00 μB per formula unit
data_ZnCdAu2
_symmetry_space_group_name_H-M 'C 1 2/m 1'
_symmetry_Int_Tables_number 12
_cell_length_a 9.418
_cell_length_b 2.915
_cell_length_c 5.075
_cell_angle_alpha 90.00
_cell_angle_beta 103.78
_cell_angle_gamma 90.00
loop_
_symmetry_equiv_pos_as_xyz
'x,y,z'
'-x,-y,-z'
'-x,y,-z'
'x,-y,z'
'x+1/2,y+1/2,z'
'-x+1/2,-y+1/2,-z'
'-x+1/2,y+1/2,-z'
'x+1/2,-y+1/2,z'
loop_
_atom_site_label
_atom_site_type_symbol
_atom_site_fract_x
_atom_site_fract_y
_atom_site_fract_z
_atom_site_occupancy
Zn1 Zn 0.000 0.000 0.000 1
Cd1 Cd 0.000 0.500 0.500 1
Au1 Au 0.235 0.500 0.238 1


# SCAN ZnCdAu2, PBEsol geometry
# * energy relative to the elements: -0.197 eV per atom
# * calculated volume: 16.87 A^3/atom
# * DFT total energy: -45.758 eV per atom
# * total magnetization: 0.00 μB per formula unit
data_ZnCdAu2
_symmetry_space_group_name_H-M 'P m m 2'
_symmetry_Int_Tables_number 25
_cell_length_a 2.923
_cell_length_b 4.586
_cell_length_c 5.035
_cell_angle_alpha 90.00
_cell_angle_beta 90.00
_cell_angle_gamma 90.00
loop_
_symmetry_equiv_pos_as_xyz
'x,y,z'
'-x,-y,z'
'-x,y,z'
'x,-y,z'
loop_
_atom_site_label
_atom_site_type_symbol
_atom_site_fract_x
_atom_site_fract_y
_atom_site_fract_z
_atom_site_occupancy
Zn1 Zn 0.000 0.000 0.000 1
Cd1 Cd 0.000 0.500 0.372 1
Au1 Au 0.500 0.000 0.524 1
Au2 Au 0.500 0.500 0.885 1


# SCAN ZnCdAu2, PBEsol geometry
# * energy relative to the elements: -0.192 eV per atom
# * calculated volume: 16.85 A^3/atom
# * DFT total energy: -45.753 eV per atom
# * total magnetization: 0.00 μB per formula unit
data_ZnCdAu2
_symmetry_space_group_name_H-M 'C m m m'
_symmetry_Int_Tables_number 65
_symmetry_space_group_name_Hall '-C 2 2'
_cell_length_a 5.946
_cell_length_b 7.171
_cell_length_c 3.162
_cell_angle_alpha 90.00
_cell_angle_beta 90.00
_cell_angle_gamma 90.00
loop_
_atom_site_label
_atom_site_type_symbol
_atom_site_fract_x
_atom_site_fract_y
_atom_site_fract_z
_atom_site_occupancy
Zn1 Zn 0.000 0.000 0.000 1
Cd1 Cd 0.000 0.500 0.000 1
Au1 Au 0.250 0.250 0.500 1